Here is Mn3NiSn2P6O24 after structural relaxation from Alexandria. Energies are from PBE with a Hubbard U.

```
Mn3NiSn2P6O24
1.0
4.3832 2.5307 6.9097
-4.3832 2.5307 6.9097
0.0000 -5.0613 6.9097
Mn Ni Sn P O
3 1 2 6 24
Direct
0.0000 0.0000 0.0000 Mn
0.1990 0.1990 0.1990 Mn
0.5008 0.5008 0.5008 Mn
0.7025 0.7025 0.7025 Ni
0.3494 0.3494 0.3494 Sn
0.8493 0.8493 0.8493 Sn
0.0998 0.7978 0.4025 P
0.3024 0.6022 0.8987 P
0.4025 0.0998 0.7978 P
0.6022 0.8987 0.3024 P
0.7978 0.4025 0.0998 P
0.8987 0.3024 0.6022 P
0.0310 0.8344 0.2510 O
0.0966 0.7539 0.9191 O
0.1022 0.2827 0.4479 O
0.1750 0.9444 0.3646 O
0.2510 0.0310 0.8344 O
0.2524 0.5940 0.4218 O
0.2827 0.4479 0.1022 O
0.3330 0.5305 0.7512 O
0.3646 0.1750 0.9444 O
0.4218 0.2524 0.5940 O
0.4479 0.1022 0.2827 O
0.4504 0.6747 0.8584 O
0.5305 0.7512 0.3330 O
0.5940 0.4218 0.2524 O
0.6043 0.9465 0.7798 O
0.6747 0.8584 0.4504 O
0.7512 0.3330 0.5305 O
0.7539 0.9191 0.0966 O
0.7798 0.6043 0.9465 O
0.8344 0.2510 0.0310 O
0.8584 0.4504 0.6747 O
0.9191 0.0966 0.7539 O
0.9444 0.3646 0.1750 O
0.9465 0.7798 0.6043 O
```

Calculated values
Crystal system: trigonal
VASP energy, eV per formula unit: -252.1
Total magnetic moment, μB per formula unit: 15.00
Fermi-level density of states, states/eV/cell: 8.794